[1]
Density functional theory data (PBE) for an optimized crystal structure of ThP2IrRu.

Unit cell a=4.370 b=4.370 c=5.505 alpha=113.39 beta=113.39 gamma=90.00
Fractional positions:
Th: 0.503 0.503 0.005
P: 0.250 0.750 0.501
P: 0.750 0.250 0.501
Ru: 0.853 0.853 0.706
Ir: 0.144 0.144 0.287

Results
E_form in meV/atom: -899
Raw total energy in eV/atom: -8.174
Calculated volume in Å³/atom: 17.4

***

[2]
Density functional theory data (PBE) for an optimized crystal structure of PrPaHg2.

Unit cell a=3.344 b=3.344 c=11.090 alpha=81.33 beta=81.33 gamma=60.00
Fractional positions:
Pr: 0.500 0.500 0.500
Hg: 0.251 0.251 0.246
Hg: 0.749 0.749 0.754
Pa: 0.000 0.000 0.000

Results
E_form in meV/atom: -22
Raw total energy in eV/atom: -3.742
Calculated volume in Å³/atom: 26.4

***

[3]
Density functional theory data (PBE) for an optimized crystal structure of Mn2NiAu.

Unit cell a=4.180 b=4.180 c=4.180 alpha=60.00 beta=60.00 gamma=60.00
Fractional positions:
Mn: 0.250 0.250 0.250
Mn: 0.750 0.750 0.750
Au: 0.500 0.500 0.500
Ni: 0.000 0.000 0.000

Results
E_form in meV/atom: 631
Raw total energy in eV/atom: -6.218
Calculated volume in Å³/atom: 12.9

***

[4]
Density functional theory data (PBE) for an optimized crystal structure of SnGe2Pd.

Unit cell a=3.238 b=3.238 c=7.487 alpha=90.00 beta=90.00 gamma=90.00
Fractional positions:
Ge: 0.000 0.000 0.800
Ge: 0.000 0.000 0.200
Sn: 0.500 0.500 0.500
Pd: 0.500 0.500 0.000

Results
E_form in meV/atom: -85
Raw total energy in eV/atom: -4.692
Calculated volume in Å³/atom: 19.6

***

[5]
Density functional theory data (PBE) for an optimized crystal structure of SrDy3Cu.

Unit cell a=5.503 b=5.503 c=5.503 alpha=90.00 beta=90.00 gamma=90.00
Fractional positions:
Dy: 0.000 0.500 0.000
Dy: 0.500 0.000 0.000
Dy: 0.000 0.000 0.500
Cu: 0.000 0.000 0.000
Sr: 0.500 0.500 0.500

Results
E_form in meV/atom: 119
Raw total energy in eV/atom: -3.798
Calculated volume in Å³/atom: 33.3

***

[6]
Density functional theory data (PBE) for an optimized crystal structure of KBaSc.

Unit cell a=3.916 b=3.916 c=10.239 alpha=90.00 beta=90.00 gamma=120.00
Fractional positions:
Sc: 0.333 0.667 0.681
K: 0.667 0.333 0.355
Ba: 0.000 0.000 0.963

Results
E_form in meV/atom: 461
Raw total energy in eV/atom: -2.656
Calculated volume in Å³/atom: 45.3

***

[7]
Density functional theory data (PBE) for an optimized crystal structure of CaLa4Ni2.

Unit cell a=7.654 b=7.239 c=8.278 alpha=110.09 beta=105.28 gamma=86.76
Fractional positions:
La: 0.352 0.750 0.922
La: 0.812 0.640 0.830
La: 0.677 0.424 0.088
La: 0.852 0.092 0.721
La: 0.361 0.142 0.730
La: 0.550 0.186 0.353
La: 0.519 0.728 0.459
La: 0.018 0.064 0.295
Ni: 0.414 0.460 0.619
Ni: 0.726 0.825 0.224
Ni: 0.669 0.017 0.995
Ni: 0.088 0.383 0.698
Ca: 0.035 0.635 0.479
Ca: 0.176 0.402 0.088

Results
E_form in meV/atom: -99
Raw total energy in eV/atom: -4.853
Calculated volume in Å³/atom: 29.7

***

[8]
Density functional theory data (PBE) for an optimized crystal structure of SrPOs2Cl.

Unit cell a=5.782 b=5.635 c=5.782 alpha=90.00 beta=90.00 gamma=90.00
Fractional positions:
Cl: 0.500 0.500 0.500
Os: 0.500 0.000 0.000
Os: 0.000 0.000 0.500
Sr: 0.000 0.000 0.000
P: 0.000 0.500 0.000

Results
ΔE_f (raw) in eV/atom: 2.89
Raw total energy in eV/atom: -3.386
Calculated volume in Å³/atom: 37.7

***

[9]
Density functional theory data (PBE) for an optimized crystal structure of TbDyTlSn.

Unit cell a=5.364 b=5.364 c=5.364 alpha=60.00 beta=60.00 gamma=60.00
Fractional positions:
Dy: 0.500 0.500 0.500
Tl: 0.750 0.750 0.750
Sn: 0.250 0.250 0.250
Tb: 0.000 0.000 0.000

Results
E_form in meV/atom: -458
Raw total energy in eV/atom: -4.358
Calculated volume in Å³/atom: 27.3

***

[10]
Density functional theory data (PBE) for an optimized crystal structure of Pr3SiGe3.

Unit cell a=4.394 b=5.995 c=14.057 alpha=80.58 beta=81.01 gamma=68.50
Fractional positions:
Si: 0.238 0.909 0.615
Si: 0.762 0.091 0.385
Ge: 0.881 0.157 0.081
Ge: 0.846 0.767 0.541
Ge: 0.154 0.233 0.459
Ge: 0.985 0.804 0.226
Ge: 0.119 0.843 0.919
Ge: 0.015 0.196 0.774
Pr: 0.517 0.346 0.620
Pr: 0.607 0.712 0.075
Pr: 0.483 0.654 0.380
Pr: 0.393 0.288 0.925
Pr: 0.265 0.237 0.232
Pr: 0.735 0.763 0.768

Results
ΔE_f (raw) in eV/atom: -0.68
Raw total energy in eV/atom: -5.484
Calculated volume in Å³/atom: 24.1

***

[11]
Density functional theory data (PBE) for an optimized crystal structure of BaCrP2N6.

Unit cell a=5.499 b=7.259 c=7.259 alpha=99.67 beta=77.38 gamma=77.38
Fractional positions:
N: 0.093 0.769 0.778
N: 0.533 0.313 0.574
N: 0.907 0.231 0.222
N: 0.593 0.778 0.769
N: 0.967 0.426 0.687
N: 0.768 0.658 0.038
N: 0.033 0.574 0.313
N: 0.467 0.687 0.426
N: 0.232 0.342 0.962
N: 0.407 0.222 0.231
N: 0.268 0.038 0.658
N: 0.732 0.962 0.342
Cr: 0.750 0.719 0.281
Cr: 0.250 0.281 0.719
Ba: 0.750 0.145 0.855
Ba: 0.250 0.855 0.145
P: 0.363 0.801 0.654
P: 0.637 0.199 0.346
P: 0.137 0.346 0.199
P: 0.863 0.654 0.801

Results
ΔE_f (raw) in eV/atom: -0.43
Raw total energy in eV/atom: -7.657
Calculated volume in Å³/atom: 13.4

***

[12]
Density functional theory data (PBE) for an optimized crystal structure of LaAlGaAu.

Unit cell a=4.994 b=4.994 c=4.994 alpha=60.00 beta=60.00 gamma=60.00
Fractional positions:
La: 0.750 0.750 0.750
Au: 0.000 0.000 0.000
Ga: 0.500 0.500 0.500
Al: 0.250 0.250 0.250

Results
E_form in meV/atom: -525
Raw total energy in eV/atom: -4.268
Calculated volume in Å³/atom: 22.0